# 1
The following is a PBEsol calculation of a relaxed MgTcRu crystal, from the Alexandria database.

```
3
Lattice="-0.4688 0.9909 -4.0015 -1.0038 -2.9314 -2.7592 -3.7777 -0.0280 -1.7152" Properties=species:S:1:pos:R:3 pbc="T T T"
Mg 0.0000 0.0000 0.0000
Tc -1.3126 -0.4921 -2.1190
Ru -2.6252 -0.9842 -4.2380
```

Results
**Density of states at the Fermi level**: 1.200 states/eV/atom
**Total energy**: -7.0750 eV per atom
**Space-group type**: F-43m
**Formation enthalpy at 0 K**: 1.931 eV per formula unit

# 2
The following is a PBEsol calculation of a relaxed Mg2TcRu crystal, from the Alexandria database.

```
4
Lattice="-1.4248 -2.5680 -0.3952 2.5142 -1.4764 0.5290 -1.6228 -0.2005 7.1529" Properties=species:S:1:pos:R:3 pbc="T T T"
Mg -1.5757 -0.1946 6.9453
Mg 0.0833 -2.0792 2.1008
Tc -0.6273 -2.1670 5.2329
Ru -0.8478 -0.1047 3.7370
```

Results
**Density of states at the Fermi level**: 0.567 states/eV/atom
**Total energy**: -6.2018 eV per atom
**Space-group type**: P4mm
**Formation enthalpy at 0 K**: 0.066 eV per formula unit

# 3
The following is a PBEsol calculation of a relaxed MgTc2Ru crystal, from the Alexandria database.

```
4
Lattice="2.6570 -0.0005 0.0000 -1.0742 2.4302 0.0000 0.0000 0.0000 9.0585" Properties=species:S:1:pos:R:3 pbc="T T T"
Ru 0.7914 1.2148 0.0000
Mg 0.7914 1.2148 4.5293
Tc 0.0000 0.0000 2.1699
Tc 0.0000 0.0000 6.8886
```

Results
**Density of states at the Fermi level**: 1.013 states/eV/atom
**Total energy**: -8.2437 eV per atom
**Space-group type**: Cmmm
**Formation enthalpy at 0 K**: 1.447 eV per formula unit

# 4
The following is a PBEsol calculation of a relaxed MgTcRu crystal, from the Alexandria database.

```
3
Lattice="2.6988 0.0058 0.0000 -1.1176 2.4565 0.0000 -0.7906 -1.2311 6.7270" Properties=species:S:1:pos:R:3 pbc="T T T"
Mg 0.7906 1.2311 6.6999
Ru 0.0000 0.0000 4.4078
Tc 0.7906 1.2311 2.3463
```

Results
**Density of states at the Fermi level**: 0.851 states/eV/atom
**Total energy**: -7.4099 eV per atom
**Space-group type**: Fmm2
**Formation enthalpy at 0 K**: 0.926 eV per formula unit

What did the fourth record say?
The following is a PBEsol calculation of a relaxed MgTcRu crystal, from the Alexandria database.

```
3
Lattice="2.6988 0.0058 0.0000 -1.1176 2.4565 0.0000 -0.7906 -1.2311 6.7270" Properties=species:S:1:pos:R:3 pbc="T T T"
Mg 0.7906 1.2311 6.6999
Ru 0.0000 0.0000 4.4078
Tc 0.7906 1.2311 2.3463
```

Results
**Density of states at the Fermi level**: 0.851 states/eV/atom
**Total energy**: -7.4099 eV per atom
**Space-group type**: Fmm2
**Formation enthalpy at 0 K**: 0.926 eV per formula unit

Which formula does entry 3 have? MgTc2Ru